TcHgSb2, relaxed, DFT GGA-PBE; raw total energy = -4.337 eV per atom; ΔE_f (raw) = 0.391 eV/atom
1.0
-0.143 4.069 -2.351
1.222 -1.627 -2.890
-4.284 -1.838 -2.922
Tc Hg Sb
1 1 2
direct
0.000 0.707 0.463
0.500 0.536 0.802
0.500 0.269 0.336
0.000 0.988 0.899